Compound: MgPd
Source: OQMD via LeMat-Bulk
Functional: GGA-PBE
Structure: optimized geometry

Cell and atoms, written as POSCAR:
```
MgPd
1.0
3.173 0.000 0.000
0.000 3.173 0.000
0.000 0.000 3.173
Mg Pd
1 1
Direct
0.000 0.000 0.000
0.500 0.500 0.500
```

Calculated values
DFT total energy (eV/atom): -4.11